(1)
LaGeAu | Alexandria via LeMat-Bulk | GGA-PBE | relaxed; space group = P-1 (2); total magnetic moment = 0.000 μB per formula unit; density = 9.3 g/cm3; formation energy = -813 meV per atom
1.0
-2.302 -5.224 2.270
4.421 -0.333 -0.727
3.224 1.934 4.828
Au Ge La
2 2 2
direct
0.343 0.440 0.112 Au
0.683 0.426 0.482 Au
0.159 0.919 0.970 Ge
0.867 0.947 0.624 Ge
0.757 0.173 0.060 La
0.269 0.693 0.534 La



(2)
CdGa2Hg | Alexandria via LeMat-Bulk | GGA-PBE | relaxed; space group = P4/mmm (123); ΔE to the lowest computed polymorph = 9 meV per atom; total magnetic moment = 0.000 μB per formula unit; density = 8.6 g/cm3; formation energy = 58 meV per atom
1.0
4.558 0.000 0.000
0.000 4.379 0.000
0.000 0.000 4.379
Ga Cd Hg
2 1 1
direct
0.000 0.500 0.000 Ga
0.000 0.000 0.500 Ga
0.500 0.500 0.500 Cd
0.500 0.000 0.000 Hg